This record from Alexandria describes an optimized crystal structure of Mn8Pb. The functional is PBE.

```
Mn8Pb
1.0
3.653 -2.887 3.457
-4.523 3.628 -0.021
-3.012 -4.668 -1.664
Mn Pb
8 1
Cartesian
-2.145 -2.674 0.034
-2.644 -0.365 -0.591
-1.979 1.601 1.061
-4.891 -0.675 -1.093
0.416 -4.903 1.164
-1.737 -1.252 1.738
0.225 -2.651 0.629
1.108 -0.859 2.375
0.000 0.000 0.000
```

- calculated formation energy (eV/atom) = 0.28
- ρ (g/cm³) = 9.77
- V (Å³ per atom) = 12.2


This record from Alexandria describes an optimized crystal structure of MnPb3. The functional is PBE.

```
MnPb3
1.0
-2.928 -1.640 -0.796
1.153 -0.475 -3.216
3.696 -7.803 2.478
Pb Mn
3 1
Cartesian
1.848 -3.902 1.239
2.048 -7.255 -0.038
-0.127 -2.663 -1.496
0.000 0.000 0.000
```

- calculated formation energy (eV/atom) = 0.26
- ρ (g/cm³) = 10.51
- V (Å³ per atom) = 26.7